Model w:
VASP calculation (PBE-GGA) on an optimized crystal structure of NbSbPb2O6.

Output
Crystal system ... monoclinic
Total magnetic moment ... 0.00 μB/f.u.

Unit cell a=5.8581 b=5.8581 c=6.0288 alpha=120.00 beta=120.00 gamma=60.16
Last column: nearest neighbours and their distance in Å.
Element x y z (fractional)
Nb 0.0000 0.0000 0.0000  6 O 2.01-2.03
Sb 0.5000 0.5000 0.5000  6 O 2.28-2.29
Pb 0.2513 0.2513 0.7742  5 O 2.53-2.59
Pb 0.7487 0.7487 0.2258  5 O 2.53-2.59
O 0.1842 0.7001 0.1712  1 Nb 2.03
O 0.2316 0.2316 0.3259  1 Nb 2.01
O 0.2999 0.8158 0.8288  1 Nb 2.03
O 0.7001 0.1842 0.1712  1 Nb 2.03
O 0.7684 0.7684 0.6741  1 Nb 2.01
O 0.8158 0.2999 0.8288  1 Nb 2.03

Model x:
VASP calculation (PBE-GGA) on an optimized crystal structure of NbSbPb2O6.

Output
Crystal system ... orthorhombic
Total magnetic moment ... 2.47 μB/f.u.

Unit cell a=5.9865 b=5.9848 c=5.9827 alpha=60.03 beta=60.00 gamma=59.97
Last column: nearest neighbours and their distance in Å.
Element x y z (fractional)
Nb 0.0000 0.0000 0.0000  12 O 2.99
Sb 0.5000 0.5000 0.5000  12 O 2.99
Pb 0.2500 0.2500 0.2500  6 O 2.11-2.12
Pb 0.7500 0.7500 0.7500  6 O 2.11-2.12
O 0.0000 0.0000 0.5000  2 Pb 2.12
O 0.0000 0.5000 0.0000  2 Pb 2.12
O 0.0000 0.5000 0.5000  2 Pb 2.11
O 0.5000 0.0000 0.0000  2 Pb 2.11
O 0.5000 0.0000 0.5000  2 Pb 2.12
O 0.5000 0.5000 0.0000  2 Pb 2.12

Calculated relative energies: model w 0.0; model x 135.7, given in kJ/mol of atoms

Model w:
VASP calculation (PBE-GGA) on an optimized crystal structure of Pr2Nb2O5.

Output
Crystal system ... tetragonal
Total magnetic moment ... 0.14 μB/f.u.

Unit cell a=3.5494 b=3.5494 c=10.3565 alpha=90.00 beta=90.00 gamma=90.00
Last column: nearest neighbours and their distance in Å.
Element x y z (fractional)
Pr 0.0000 0.0000 0.2360  5 O 2.35-2.44
Pr 0.0000 0.0000 0.7640  5 O 2.35-2.44
Nb 0.5000 0.5000 0.0000  4 O 2.51
Nb 0.5000 0.5000 0.5000  8 O 2.14
O 0.0000 0.0000 0.0000  2 Pr 2.44, 4 Nb 2.51
O 0.0000 0.5000 0.3842  2 Nb 2.14, 2 Pr 2.35
O 0.0000 0.5000 0.6158  2 Nb 2.14, 2 Pr 2.35
O 0.5000 0.0000 0.3842  2 Nb 2.14, 2 Pr 2.35
O 0.5000 0.0000 0.6158  2 Nb 2.14, 2 Pr 2.35

Model x:
VASP calculation (PBE-GGA) on an optimized crystal structure of Pr2Nb2O5.

Output
Crystal system ... tetragonal
Total magnetic moment ... 0.00 μB/f.u.

Unit cell a=4.1034 b=4.1034 c=7.1189 alpha=90.00 beta=90.00 gamma=90.00
Last column: nearest neighbours and their distance in Å.
Element x y z (fractional)
Pr 0.0000 0.0000 0.0000  8 O 2.69
Pr 0.0000 0.0000 0.5000  12 O 2.75-2.90
Nb 0.5000 0.5000 0.1971  5 O 2.08-2.16
Nb 0.5000 0.5000 0.8029  5 O 2.08-2.16
O 0.0000 0.5000 0.2436  2 Nb 2.08
O 0.0000 0.5000 0.7564  2 Nb 2.08
O 0.5000 0.0000 0.2436  2 Nb 2.08
O 0.5000 0.0000 0.7564  2 Nb 2.08
O 0.5000 0.5000 0.5000  2 Nb 2.16

Calculated relative energies: model w 36.4; model x 0.0, given in kJ/mol of atoms

Model w:
VASP calculation (PBE-GGA) on an optimized crystal structure of RbNbSO.

Output
Crystal system ... monoclinic
Total magnetic moment ... 0.01 μB/f.u.

Unit cell a=5.0289 b=5.7456 c=13.6688 alpha=90.00 beta=90.06 gamma=90.00
Last column: nearest neighbours and their distance in Å.
Element x y z (fractional)
Rb 0.1391 0.0000 0.1704  4 S 3.09-3.41
Rb 0.3582 0.0005 0.8314  4 S 3.10-3.44
Rb 0.6418 0.5005 0.1686  4 S 3.10-3.44
Rb 0.8609 0.5000 0.8296  4 S 3.09-3.41
Nb 0.0651 0.3476 0.5645  4 O 2.11-2.17
Nb 0.4343 0.3452 0.4350  4 O 2.11-2.18
Nb 0.5657 0.8452 0.5650  4 O 2.11-2.18
Nb 0.9349 0.8476 0.4355  4 O 2.11-2.17
S 0.1342 0.5003 0.3049  1 Nb 2.50
S 0.3695 0.5012 0.6936  1 Nb 2.50
S 0.6305 0.0012 0.3064  1 Nb 2.50
S 0.8658 0.0003 0.6951  1 Nb 2.50
O 0.2498 0.0532 0.5012  4 Nb 2.12-2.17
O 0.2503 0.6383 0.4992  4 Nb 2.11-2.18
O 0.7497 0.1383 0.5008  4 Nb 2.11-2.18
O 0.7502 0.5532 0.4988  4 Nb 2.12-2.17

Model x:
VASP calculation (PBE-GGA) on an optimized crystal structure of RbNbSO.

Output
Crystal system ... orthorhombic
Total magnetic moment ... 0.00 μB/f.u.

Unit cell a=7.6007 b=8.7992 c=5.7410 alpha=90.00 beta=90.00 gamma=90.00
Last column: nearest neighbours and their distance in Å.
Element x y z (fractional)
Rb 0.1056 0.1495 0.0000  2 O 2.73-3.04
Rb 0.3944 0.1495 0.5000  2 O 2.73-3.04
Rb 0.6056 0.8505 0.0000  2 O 2.73-3.04
Rb 0.8944 0.8505 0.5000  2 O 2.73-3.04
Nb 0.1534 0.6475 0.0168  1 O 1.85
Nb 0.3466 0.6475 0.5168  1 O 1.85
Nb 0.6534 0.3525 0.0168  1 O 1.85
Nb 0.8466 0.3525 0.5168  1 O 1.85
S 0.0721 0.5355 0.6397  3 Nb 2.41-2.46
S 0.4279 0.5355 0.1397  3 Nb 2.41-2.46
S 0.5721 0.4645 0.6397  3 Nb 2.41-2.46
S 0.9279 0.4645 0.1397  3 Nb 2.41-2.46
O 0.0598 0.8420 0.0187  1 Nb 1.85
O 0.4402 0.8420 0.5187  1 Nb 1.85
O 0.5598 0.1580 0.0187  1 Nb 1.85
O 0.9402 0.1580 0.5187  1 Nb 1.85

Calculated relative energies: model w 7.4; model x 0.0, given in kJ/mol of atoms

Model w:
VASP calculation (PBE-GGA) on an optimized crystal structure of RbNbSO.

Output
Crystal system ... monoclinic
Total magnetic moment ... 0.00 μB/f.u.

Unit cell a=7.7488 b=6.2072 c=7.2393 alpha=90.00 beta=101.48 gamma=90.00
Last column: nearest neighbours and their distance in Å.
Element x y z (fractional)
Rb 0.1170 0.2155 0.4864  2 O 2.67-2.81
Rb 0.1170 0.2845 0.9864  2 O 2.67-2.81
Rb 0.8830 0.7155 0.0136  2 O 2.67-2.81
Rb 0.8830 0.7845 0.5136  2 O 2.67-2.81
Nb 0.4643 0.6029 0.6575  2 O 2.01-2.03
Nb 0.4643 0.8971 0.1575  2 O 2.01-2.03
Nb 0.5357 0.1029 0.8425  2 O 2.01-2.03
Nb 0.5357 0.3971 0.3425  2 O 2.01-2.03
S 0.2712 0.6447 0.3417  3 Nb 2.48-2.70
S 0.2712 0.8553 0.8417  3 Nb 2.48-2.70
S 0.7288 0.1447 0.1583  3 Nb 2.48-2.70
S 0.7288 0.3553 0.6583  3 Nb 2.48-2.70
O 0.3724 0.1434 0.2944  2 Nb 2.01-2.03
O 0.3724 0.3566 0.7944  2 Nb 2.01-2.03
O 0.6276 0.6434 0.2056  2 Nb 2.01-2.03
O 0.6276 0.8566 0.7056  2 Nb 2.01-2.03

Model x:
VASP calculation (PBE-GGA) on an optimized crystal structure of RbNbSO.

Output
Crystal system ... tetragonal
Total magnetic moment ... 0.34 μB/f.u.

Unit cell a=3.8543 b=3.8543 c=9.4376 alpha=90.00 beta=90.00 gamma=90.00
Last column: nearest neighbours and their distance in Å.
Element x y z (fractional)
Rb 0.2500 0.7500 0.0000  4 Rb 2.73
Rb 0.7500 0.2500 0.0000  4 Rb 2.73
Nb 0.2500 0.2500 0.3875  4 O 2.20
Nb 0.7500 0.7500 0.6125  4 O 2.20
S 0.2500 0.2500 0.7398  4 O 2.97, 5 Nb 2.98-3.32, 4 Rb 3.12
S 0.7500 0.7500 0.2602  4 O 2.97, 5 Nb 2.98-3.32, 4 Rb 3.12
O 0.2500 0.7500 0.5000  4 Nb 2.20
O 0.7500 0.2500 0.5000  4 Nb 2.20

Model y:
VASP calculation (PBE-GGA) on an optimized crystal structure of RbNbSO.

Output
Crystal system ... orthorhombic
Total magnetic moment ... 1.07 μB/f.u.

Unit cell a=4.1136 b=7.7425 c=6.5238 alpha=90.00 beta=90.00 gamma=90.00
Last column: nearest neighbours and their distance in Å.
Element x y z (fractional)
Rb 0.0000 0.1752 0.0000  2 O 2.83
Rb 0.0000 0.8248 0.5000  2 O 2.83
Nb 0.5000 0.4052 0.4343  2 O 1.97-1.98
Nb 0.5000 0.5948 0.9343  2 O 1.97-1.98
S 0.0000 0.2509 0.5079  2 Nb 2.43
S 0.0000 0.7491 0.0079  2 Nb 2.43
O 0.5000 0.4006 0.1318  2 Nb 1.97-1.98
O 0.5000 0.5994 0.6318  2 Nb 1.97-1.98

Calculated relative energies: model w 0.0; model x 78.6; model y 12.7, given in kJ/mol of atoms

Model w:
VASP calculation (PBE-GGA) on an optimized crystal structure of Nb2Si2O5.

Output
Crystal system ... tetragonal
Total magnetic moment ... 1.66 μB/f.u.

Unit cell a=3.8951 b=3.8951 c=5.7017 alpha=90.00 beta=90.00 gamma=90.00
Last column: nearest neighbours and their distance in Å.
Element x y z (fractional)
Nb 0.0000 0.0000 0.0000  8 O 2.37
Nb 0.0000 0.0000 0.5000  8 O 2.46
Si 0.5000 0.5000 0.2055  1 O 1.68
Si 0.5000 0.5000 0.7945  1 O 1.68
O 0.0000 0.5000 0.2370  2 Si 1.96
O 0.0000 0.5000 0.7630  2 Si 1.96
O 0.5000 0.0000 0.2370  2 Si 1.96
O 0.5000 0.0000 0.7630  2 Si 1.96
O 0.5000 0.5000 0.5000  2 Si 1.68

Model x:
VASP calculation (PBE-GGA) on an optimized crystal structure of Nb2Si2O5.

Output
Crystal system ... tetragonal
Total magnetic moment ... 0.00 μB/f.u.

Unit cell a=3.9808 b=3.9808 c=7.2305 alpha=90.00 beta=90.00 gamma=90.00
Last column: nearest neighbours and their distance in Å.
Element x y z (fractional)
Nb 0.0000 0.0000 0.2203  5 O 2.00-2.02
Nb 0.0000 0.0000 0.7797  5 O 2.00-2.02
Si 0.5000 0.5000 0.0000  8 O 2.69
Si 0.5000 0.5000 0.5000  12 O 2.69-2.81
O 0.0000 0.0000 0.5000  2 Nb 2.02
O 0.0000 0.5000 0.2500  2 Nb 2.00
O 0.0000 0.5000 0.7500  2 Nb 2.00
O 0.5000 0.0000 0.2500  2 Nb 2.00
O 0.5000 0.0000 0.7500  2 Nb 2.00

Calculated relative energies: model w 0.0; model x 7.6, given in kJ/mol of atoms

Model w:
VASP calculation (PBE-GGA) on an optimized crystal structure of Nb2Sn2O5.

Output
Crystal system ... tetragonal
Total magnetic moment ... 4.22 μB/f.u.

Unit cell a=4.2214 b=4.2214 c=6.7122 alpha=90.00 beta=90.00 gamma=90.00
Last column: nearest neighbours and their distance in Å.
Element x y z (fractional)
Nb 0.0000 0.0000 0.0000  8 O 2.51
Nb 0.0000 0.0000 0.5000  12 O 2.90-2.98
Sn 0.5000 0.5000 0.2039  5 O 1.99-2.11
Sn 0.5000 0.5000 0.7961  5 O 1.99-2.11
O 0.0000 0.5000 0.2029  2 Sn 2.11
O 0.0000 0.5000 0.7971  2 Sn 2.11
O 0.5000 0.0000 0.2029  2 Sn 2.11
O 0.5000 0.0000 0.7971  2 Sn 2.11
O 0.5000 0.5000 0.5000  2 Sn 1.99

Model x:
VASP calculation (PBE-GGA) on an optimized crystal structure of Nb2Sn2O5.

Output
Crystal system ... tetragonal
Total magnetic moment ... 0.01 μB/f.u.

Unit cell a=4.0430 b=4.0430 c=7.7676 alpha=90.00 beta=90.00 gamma=90.00
Last column: nearest neighbours and their distance in Å.
Element x y z (fractional)
Nb 0.0000 0.0000 0.2364  5 O 2.02-2.05
Nb 0.0000 0.0000 0.7636  5 O 2.02-2.05
Sn 0.5000 0.5000 0.0000  8 O 2.81
Sn 0.5000 0.5000 0.5000  12 O 2.80-2.86
O 0.0000 0.0000 0.5000  2 Nb 2.05
O 0.0000 0.5000 0.2509  2 Nb 2.02
O 0.0000 0.5000 0.7491  2 Nb 2.02
O 0.5000 0.0000 0.2509  2 Nb 2.02
O 0.5000 0.0000 0.7491  2 Nb 2.02

Calculated relative energies: model w 88.0; model x 0.0, given in kJ/mol of atoms

Model w:
VASP calculation (PBE-GGA) on an optimized crystal structure of Sr2Nb2O5.

Output
Crystal system ... tetragonal
Total magnetic moment ... 0.01 μB/f.u.

Unit cell a=4.0847 b=4.0847 c=7.5503 alpha=90.00 beta=90.00 gamma=90.00
Last column: nearest neighbours and their distance in Å.
Element x y z (fractional)
Sr 0.0000 0.0000 0.0000  8 O 2.67
Sr 0.0000 0.0000 0.5000  12 O 2.89-2.90
Nb 0.5000 0.5000 0.2258  5 O 2.04-2.07
Nb 0.5000 0.5000 0.7742  5 O 2.04-2.07
O 0.0000 0.5000 0.2279  2 Nb 2.04
O 0.0000 0.5000 0.7721  2 Nb 2.04
O 0.5000 0.0000 0.2279  2 Nb 2.04
O 0.5000 0.0000 0.7721  2 Nb 2.04
O 0.5000 0.5000 0.5000  2 Nb 2.07

Model x:
VASP calculation (PBE-GGA) on an optimized crystal structure of Sr2Nb2O5.

Output
Crystal system ... tetragonal
Total magnetic moment ... 3.00 μB/f.u.

Unit cell a=3.5468 b=3.5468 c=10.7522 alpha=90.00 beta=90.00 gamma=90.00
Last column: nearest neighbours and their distance in Å.
Element x y z (fractional)
Sr 0.0000 0.0000 0.2483  4 O 2.31
Sr 0.0000 0.0000 0.7517  4 O 2.31
Nb 0.5000 0.5000 0.0000  8 O 2.14
Nb 0.5000 0.5000 0.5000  4 O 2.51
O 0.0000 0.0000 0.5000  4 Nb 2.51, 2 Sr 2.71
O 0.0000 0.5000 0.1111  2 Nb 2.14, 2 Sr 2.31, 1 O 2.39
O 0.0000 0.5000 0.8889  2 Nb 2.14, 2 Sr 2.31, 1 O 2.39
O 0.5000 0.0000 0.1111  2 Nb 2.14, 2 Sr 2.31, 1 O 2.39
O 0.5000 0.0000 0.8889  2 Nb 2.14, 2 Sr 2.31, 1 O 2.39

Calculated relative energies: model w 0.0; model x 71.2, given in kJ/mol of atoms

Model w:
VASP calculation (PBE-GGA) on an optimized crystal structure of Tb2Nb2O5.

Output
Crystal system ... tetragonal
Total magnetic moment ... 0.04 μB/f.u.

Unit cell a=3.5138 b=3.5138 c=9.8576 alpha=90.00 beta=90.00 gamma=90.00
Last column: nearest neighbours and their distance in Å.
Element x y z (fractional)
Tb 0.0000 0.0000 0.2365  5 O 2.24-2.33
Tb 0.0000 0.0000 0.7635  5 O 2.24-2.33
Nb 0.5000 0.5000 0.0000  4 O 2.48
Nb 0.5000 0.5000 0.5000  8 O 2.13
O 0.0000 0.0000 0.0000  2 Tb 2.33, 4 Nb 2.48
O 0.0000 0.5000 0.3771  2 Nb 2.13, 2 Tb 2.24
O 0.0000 0.5000 0.6229  2 Nb 2.13, 2 Tb 2.24
O 0.5000 0.0000 0.3771  2 Nb 2.13, 2 Tb 2.24
O 0.5000 0.0000 0.6229  2 Nb 2.13, 2 Tb 2.24

Model x:
VASP calculation (PBE-GGA) on an optimized crystal structure of Tb2Nb2O5.

Output
Crystal system ... tetragonal
Total magnetic moment ... 0.01 μB/f.u.

Unit cell a=4.0492 b=4.0492 c=6.9900 alpha=90.00 beta=90.00 gamma=90.00
Last column: nearest neighbours and their distance in Å.
Element x y z (fractional)
Tb 0.0000 0.0000 0.0000  8 O 2.66
Tb 0.0000 0.0000 0.5000  12 O 2.69-2.86
Nb 0.5000 0.5000 0.1927  5 O 2.06-2.15
Nb 0.5000 0.5000 0.8073  5 O 2.06-2.15
O 0.0000 0.5000 0.2472  2 Nb 2.06
O 0.0000 0.5000 0.7528  2 Nb 2.06
O 0.5000 0.0000 0.2472  2 Nb 2.06
O 0.5000 0.0000 0.7528  2 Nb 2.06
O 0.5000 0.5000 0.5000  2 Nb 2.15

Calculated relative energies: model w 14.8; model x 0.0, given in kJ/mol of atoms

Model w:
VASP calculation (PBE-GGA) on an optimized crystal structure of Tm2Nb2O5.

Output
Crystal system ... tetragonal
Total magnetic moment ... 0.16 μB/f.u.

Unit cell a=3.4932 b=3.4932 c=9.6630 alpha=90.00 beta=90.00 gamma=90.00
Last column: nearest neighbours and their distance in Å.
Element x y z (fractional)
Tm 0.0000 0.0000 0.2372  5 O 2.19-2.29
Tm 0.0000 0.0000 0.7628  5 O 2.19-2.29
Nb 0.5000 0.5000 0.0000  4 O 2.47
Nb 0.5000 0.5000 0.5000  8 O 2.13
O 0.0000 0.0000 0.0000  2 Tm 2.29, 4 Nb 2.47
O 0.0000 0.5000 0.3737  2 Nb 2.13, 2 Tm 2.19
O 0.0000 0.5000 0.6263  2 Nb 2.13, 2 Tm 2.19
O 0.5000 0.0000 0.3737  2 Nb 2.13, 2 Tm 2.19
O 0.5000 0.0000 0.6263  2 Nb 2.13, 2 Tm 2.19

Model x:
VASP calculation (PBE-GGA) on an optimized crystal structure of Tm2Nb2O5.

Output
Crystal system ... tetragonal
Total magnetic moment ... 0.00 μB/f.u.

Unit cell a=4.0146 b=4.0146 c=6.9426 alpha=90.00 beta=90.00 gamma=90.00
Last column: nearest neighbours and their distance in Å.
Element x y z (fractional)
Tm 0.0000 0.0000 0.0000  8 O 2.67
Tm 0.0000 0.0000 0.5000  12 O 2.64-2.84
Nb 0.5000 0.5000 0.1917  5 O 2.05-2.14
Nb 0.5000 0.5000 0.8083  5 O 2.05-2.14
O 0.0000 0.5000 0.2532  2 Nb 2.05
O 0.0000 0.5000 0.7468  2 Nb 2.05
O 0.5000 0.0000 0.2532  2 Nb 2.05
O 0.5000 0.0000 0.7468  2 Nb 2.05
O 0.5000 0.5000 0.5000  2 Nb 2.14

Calculated relative energies: model w 1.8; model x 0.0, given in kJ/mol of atoms

Model w:
VASP calculation (PBE-GGA) on an optimized crystal structure of Y2Nb2O5.

Output
Crystal system ... tetragonal
Total magnetic moment ... 0.03 μB/f.u.

Unit cell a=3.5100 b=3.5100 c=9.8601 alpha=90.00 beta=90.00 gamma=90.00
Last column: nearest neighbours and their distance in Å.
Element x y z (fractional)
Y 0.0000 0.0000 0.2368  5 O 2.23-2.33
Y 0.0000 0.0000 0.7632  5 O 2.23-2.33
Nb 0.5000 0.5000 0.0000  4 O 2.48
Nb 0.5000 0.5000 0.5000  8 O 2.13
O 0.0000 0.0000 0.0000  2 Y 2.33, 4 Nb 2.48
O 0.0000 0.5000 0.3771  2 Nb 2.13, 2 Y 2.23
O 0.0000 0.5000 0.6229  2 Nb 2.13, 2 Y 2.23
O 0.5000 0.0000 0.3771  2 Nb 2.13, 2 Y 2.23
O 0.5000 0.0000 0.6229  2 Nb 2.13, 2 Y 2.23

Model x:
VASP calculation (PBE-GGA) on an optimized crystal structure of Y2Nb2O5.

Output
Crystal system ... tetragonal
Total magnetic moment ... 0.00 μB/f.u.

Unit cell a=4.0478 b=4.0478 c=7.0266 alpha=90.00 beta=90.00 gamma=90.00
Last column: nearest neighbours and their distance in Å.
Element x y z (fractional)
Y 0.0000 0.0000 0.0000  8 O 2.67
Y 0.0000 0.0000 0.5000  12 O 2.69-2.86
Nb 0.5000 0.5000 0.1940  5 O 2.06-2.15
Nb 0.5000 0.5000 0.8060  5 O 2.06-2.15
O 0.0000 0.5000 0.2477  2 Nb 2.06
O 0.0000 0.5000 0.7523  2 Nb 2.06
O 0.5000 0.0000 0.2477  2 Nb 2.06
O 0.5000 0.0000 0.7523  2 Nb 2.06
O 0.5000 0.5000 0.5000  2 Nb 2.15

Calculated relative energies: model w 13.4; model x 0.0, given in kJ/mol of atoms